# AlFe3Tc

AlFe3Tc after structural relaxation (PBE, the Alexandria database).

Summary:
space group = Pm-3m (221)
formation energy = 1.35 eV per atom

Structure (POSCAR):
```
AlFe3Tc
1.0
4.445 0.000 0.000
0.000 4.445 0.000
0.000 0.000 4.445
Al Fe Tc
1 3 1
Direct
0.000 0.000 0.000
0.000 0.500 0.500
0.500 0.000 0.500
0.500 0.500 0.000
0.500 0.500 0.500
```